Entry w
Here is a relaxed structure of CsAsP2S from Alexandria. Energies are from PBE.

Cell lengths 4.9640, 4.9640, 5.2931 Å; angles 90.00, 90.00, 90.00 degrees
With the nearest neighbours (Å) after each atom.
Space group P4/mmm (No. 123)
One atom of each set of equivalent atoms:
Cs  0.0000  0.0000  0.0000 [1 per cell]  4 S 3.51, 8 P 3.63
As  0.5000  0.5000  0.5000 [1 per cell]  4 P 2.48, 2 S 2.65
P  0.0000  0.5000  0.5000 [2 per cell]  2 As 2.48
S  0.5000  0.5000  0.0000 [1 per cell]  2 As 2.65

Values from the calculation:
The density of states at the Fermi level comes out at 3.70 states/eV/cell.

---

Entry x
Here is a relaxed structure of CsAsP2S from Alexandria. Energies are from PBE.

Cell lengths 5.9438, 5.9438, 5.3497 Å; angles 90.00, 90.00, 90.00 degrees
With the nearest neighbours (Å) after each atom.
Space group P4/mmm (No. 123)
One atom of each set of equivalent atoms:
Cs  0.0000  0.0000  0.0000 [1 per cell]  2 S 2.67, 4 P 2.97
As  0.5000  0.5000  0.5000 [1 per cell]  8 P 4.00, 4 S 4.20
P  0.0000  0.5000  0.0000 [2 per cell]  2 Cs 2.97
S  0.0000  0.0000  0.5000 [1 per cell]  2 Cs 2.67

Values from the calculation:
The density of states at the Fermi level comes out at 2.25 states/eV/cell.

---

Stability summary - winner: entry w; margin: 1608 meV/atom.

---

Entry w
Here is a relaxed structure of CsAs2PSe from Alexandria. Energies are from PBE.

Cell lengths 5.8518, 5.8518, 5.4787 Å; angles 90.00, 90.00, 90.00 degrees
With the nearest neighbours (Å) after each atom.
Space group P4/mmm (No. 123)
One atom of each set of equivalent atoms:
Cs  0.0000  0.0000  0.0000 [1 per cell]  2 Se 2.74, 4 As 2.93
As  0.0000  0.5000  0.0000 [2 per cell]  2 Cs 2.93
P  0.5000  0.5000  0.5000 [1 per cell]  8 As 4.01, 4 Se 4.14
Se  0.0000  0.0000  0.5000 [1 per cell]  2 Cs 2.74

Values from the calculation:
The density of states at the Fermi level comes out at 6.54 states/eV/cell.

---

Entry x
Here is a relaxed structure of CsAs2PSe from Alexandria. Energies are from PBE.

Cell lengths 5.0143, 5.0143, 5.3212 Å; angles 90.00, 90.00, 90.00 degrees
With the nearest neighbours (Å) after each atom.
Space group P4/mmm (No. 123)
One atom of each set of equivalent atoms:
Cs  0.0000  0.0000  0.0000 [1 per cell]  4 Se 3.55, 8 As 3.66
As  0.0000  0.5000  0.5000 [2 per cell]  2 P 2.51
P  0.5000  0.5000  0.5000 [1 per cell]  4 As 2.51, 2 Se 2.66
Se  0.5000  0.5000  0.0000 [1 per cell]  2 P 2.66

Values from the calculation:
The density of states at the Fermi level comes out at 5.19 states/eV/cell.

---

Stability summary - winner: entry x; margin: 1812 meV/atom.

---

Entry w
Here is a relaxed structure of CsAs2Pb2 from Alexandria. Energies are from PBE.

Cell lengths 9.1299, 9.1299, 3.9288 Å; angles 90.00, 90.00, 90.00 degrees
With the nearest neighbours (Å) after each atom.
Space group P4/mbm (No. 127)
One atom of each set of equivalent atoms:
Cs  0.0000  0.0000  0.0000 [2 per cell]  4 As 3.74, 2 Cs 3.93, 8 Pb 3.99
As  0.1032  0.3968  0.0000 [4 per cell]  1 As 2.66
Pb  0.1501  0.6501  0.5000 [4 per cell]  4 As 3.06

Values from the calculation:
The density of states at the Fermi level comes out at 4.42 states/eV/cell.

---

Entry x
Here is a relaxed structure of CsAs2Pb2 from Alexandria. Energies are from PBE.

Cell lengths 5.1974, 5.1974, 12.4398 Å; angles 90.00, 90.00, 90.00 degrees
With the nearest neighbours (Å) after each atom.
Space group I4/mmm (No. 139)
One atom of each set of equivalent atoms:
Cs  0.0000  0.0000  0.0000 [2 per cell]  8 As 3.95, 8 Pb 4.05
As  0.0000  0.0000  0.3835 [4 per cell]  1 As 2.90, 4 Pb 3.08
Pb  0.0000  0.5000  0.2500 [4 per cell]  4 As 3.08

Values from the calculation:
The density of states at the Fermi level comes out at 5.93 states/eV/cell.

---

Entry y
Here is a relaxed structure of CsAs2Pb2 from Alexandria. Energies are from PBE.

Cell lengths 7.2174, 7.2174, 13.9516 Å; angles 90.00, 90.00, 90.00 degrees
With the nearest neighbours (Å) after each atom.
Space group I4_1md (No. 109)
One atom of each set of equivalent atoms:
Cs  0.0000  0.0000  0.0000 [4 per cell]  6 As 3.68-3.86, 4 Pb 4.12
As  0.0000  0.3111  0.4952 [8 per cell]  1 As 2.73, 3 Pb 2.82-2.94
Pb  0.0000  0.2541  0.6954 [8 per cell]  3 As 2.82-2.94

Values from the calculation:
The density of states at the Fermi level comes out at 10.19 states/eV/cell.

---

Stability summary - winner: entry y; margin: 12 meV/atom.

---

Entry w
Here is a relaxed structure of CsAs2Pb2 from Alexandria. Energies are from PBE.

Cell lengths 9.2253, 9.2253, 3.7892 Å; angles 90.00, 90.00, 90.00 degrees
With the nearest neighbours (Å) after each atom.
Space group P4/mbm (No. 127)
One atom of each set of equivalent atoms:
Cs  0.0000  0.0000  0.0000 [2 per cell]  4 Pb 3.65, 2 Cs 3.79, 8 As 4.04
As  0.1396  0.3604  0.5000 [4 per cell]  4 Pb 3.09
Pb  0.1242  0.6242  0.0000 [4 per cell]  4 As 3.09, 1 Pb 3.24

Values from the calculation:
The density of states at the Fermi level comes out at 4.48 states/eV/cell.

---

Entry x
Here is a relaxed structure of CsAs2Pb2 from Alexandria. Energies are from PBE.

Cell lengths 5.2559, 5.2559, 12.5997 Å; angles 90.00, 90.00, 90.00 degrees
With the nearest neighbours (Å) after each atom.
Space group I4/mmm (No. 139)
One atom of each set of equivalent atoms:
Cs  0.0000  0.0000  0.0000 [2 per cell]  8 As 4.10, 10 Pb 4.14-4.48
As  0.0000  0.5000  0.2500 [4 per cell]  4 Pb 2.95
Pb  0.0000  0.0000  0.3559 [4 per cell]  4 As 2.95

Values from the calculation:
The density of states at the Fermi level comes out at 7.63 states/eV/cell.

---

Stability summary - winner: entry x; margin: 97 meV/atom.

---

Entry w
Here is a relaxed structure of Cs3AsPb from Alexandria. Energies are from PBE.

Cell lengths 6.9836, 6.9836, 6.9836 Å; angles 90.00, 90.00, 90.00 degrees
With the nearest neighbours (Å) after each atom.
Space group Pm-3m (No. 221)
One atom of each set of equivalent atoms:
Cs  0.0000  0.0000  0.5000 [3 per cell]  2 As 3.49
As  0.0000  0.0000  0.0000 [1 per cell]  6 Cs 3.49
Pb  0.5000  0.5000  0.5000 [1 per cell]  12 Cs 4.94

Values from the calculation:
The density of states at the Fermi level comes out at 2.93 states/eV/cell.

---

Entry x
Here is a relaxed structure of Cs3AsPb from Alexandria. Energies are from PBE.

Cell lengths 13.2226, 11.6026, 9.7218 Å; angles 90.00, 132.55, 90.00 degrees
With the nearest neighbours (Å) after each atom.
Space group C2/m (No. 12)
One atom of each set of equivalent atoms:
Cs  0.0657  0.0000  0.3665 [4 per cell]  2 As 3.62-3.65, 1 Pb 3.74, 1 Cs 3.98
Cs  0.2363  0.3077  0.7846 [8 per cell]  1 As 3.63
As  0.2051  0.5000  0.1258 [4 per cell]  2 Pb 2.80-2.86
Pb  0.0533  0.5000  0.2378 [4 per cell]  2 As 2.80-2.86

Values from the calculation:
The density of states at the Fermi level comes out at 10.82 states/eV/cell.

---

Stability summary - winner: entry x; margin: 294 meV/atom.

---

Entry w
Here is a relaxed structure of CsAsPb3 from Alexandria. Energies are from PBE.

Cell lengths 5.8562, 5.8562, 5.8562 Å; angles 90.00, 90.00, 90.00 degrees
With the nearest neighbours (Å) after each atom.
Space group Pm-3m (No. 221)
One atom of each set of equivalent atoms:
Cs  0.0000  0.0000  0.0000 [1 per cell]  12 Pb 4.14
As  0.5000  0.5000  0.5000 [1 per cell]  6 Pb 2.93
Pb  0.0000  0.5000  0.5000 [3 per cell]  2 As 2.93

Values from the calculation:
The density of states at the Fermi level comes out at 5.68 states/eV/cell.

---

Entry x
Here is a relaxed structure of CsAsPb3 from Alexandria. Energies are from PBE.

Cell lengths 6.2488, 6.2488, 6.2488 Å; angles 90.00, 90.00, 90.00 degrees
With the nearest neighbours (Å) after each atom.
Space group Pm-3m (No. 221)
One atom of each set of equivalent atoms:
Cs  0.0000  0.0000  0.0000 [1 per cell]  6 Pb 3.12
As  0.5000  0.5000  0.5000 [1 per cell]  12 Pb 4.42
Pb  0.0000  0.0000  0.5000 [3 per cell]  2 Cs 3.12

Values from the calculation:
The density of states at the Fermi level comes out at 5.60 states/eV/cell.

---

Stability summary - winner: entry w; margin: 1332 meV/atom.

---

Entry w
Here is a relaxed structure of CsAs2PbSe from Alexandria. Energies are from PBE.

Cell lengths 5.6154, 5.6154, 5.8025 Å; angles 90.00, 90.00, 90.00 degrees
With the nearest neighbours (Å) after each atom.
Space group P4/mmm (No. 123)
One atom of each set of equivalent atoms:
Cs  0.0000  0.0000  0.0000 [1 per cell]  4 Se 3.97, 8 As 4.04
As  0.0000  0.5000  0.5000 [2 per cell]  2 Pb 2.81
Pb  0.5000  0.5000  0.5000 [1 per cell]  4 As 2.81, 2 Se 2.90
Se  0.5000  0.5000  0.0000 [1 per cell]  2 Pb 2.90

Values from the calculation:
The density of states at the Fermi level comes out at 4.70 states/eV/cell.

---

Entry x
Here is a relaxed structure of CsAs2PbSe from Alexandria. Energies are from PBE.

Cell lengths 5.7651, 5.7651, 5.8536 Å; angles 90.00, 90.00, 90.00 degrees
With the nearest neighbours (Å) after each atom.
Space group P4/mmm (No. 123)
One atom of each set of equivalent atoms:
Cs  0.0000  0.0000  0.0000 [1 per cell]  4 As 2.88, 2 Se 2.93
As  0.0000  0.5000  0.0000 [2 per cell]  2 Cs 2.88
Pb  0.5000  0.5000  0.5000 [1 per cell]  4 Se 4.08, 8 As 4.11
Se  0.0000  0.0000  0.5000 [1 per cell]  2 Cs 2.93

Values from the calculation:
The density of states at the Fermi level comes out at 7.03 states/eV/cell.

---

Stability summary - winner: entry w; margin: 975 meV/atom.

---

Entry w
Here is a relaxed structure of Cs2AsPd2 from Alexandria. Energies are from PBE.

Cell lengths 11.4014, 7.1312, 8.1571 Å; angles 90.00, 100.27, 90.00 degrees
With the nearest neighbours (Å) after each atom.
Space group C2/c (No. 15)
One atom of each set of equivalent atoms:
Cs  0.1551  0.1026  0.1469 [8 per cell]  6 Pd 3.56-3.85, 2 As 3.88
As  0.0000  0.4389  0.7500 [4 per cell]  4 Pd 2.50
Pd  0.0981  0.3854  0.5032 [8 per cell]  2 As 2.50, 1 Pd 2.76

Values from the calculation:
The density of states at the Fermi level comes out at 4.04 states/eV/cell.

---

Entry x
Here is a relaxed structure of Cs2AsPd2 from Alexandria. Energies are from PBE.

Cell lengths 6.8672, 6.8672, 5.9235 Å; angles 90.00, 90.00, 90.00 degrees
With the nearest neighbours (Å) after each atom.
Space group P4/mbm (No. 127)
One atom of each set of equivalent atoms:
Cs  0.1820  0.3180  0.0000 [4 per cell]  6 Pd 3.38-3.74, 5 Cs 3.54-3.56
As  0.0000  0.0000  0.5000 [2 per cell]  4 Pd 2.62
Pd  0.1497  0.6497  0.5000 [4 per cell]  2 As 2.62, 1 Pd 2.91

Values from the calculation:
The density of states at the Fermi level comes out at 6.66 states/eV/cell.

---

Stability summary - winner: entry w; margin: 189 meV/atom.

---

Entry w
Here is a relaxed structure of CsAs3Pd from Alexandria. Energies are from PBE.

Cell lengths 5.6823, 5.6823, 5.6823 Å; angles 90.00, 90.00, 90.00 degrees
With the nearest neighbours (Å) after each atom.
Space group Pm-3m (No. 221)
One atom of each set of equivalent atoms:
Cs  0.0000  0.0000  0.0000 [1 per cell]  6 As 2.84
As  0.0000  0.0000  0.5000 [3 per cell]  2 Cs 2.84
Pd  0.5000  0.5000  0.5000 [1 per cell]  12 As 4.02

Values from the calculation:
The density of states at the Fermi level comes out at 9.93 states/eV/cell.

---

Entry x
Here is a relaxed structure of CsAs3Pd from Alexandria. Energies are from PBE.

Cell lengths 5.1396, 5.1396, 5.1396 Å; angles 90.00, 90.00, 90.00 degrees
With the nearest neighbours (Å) after each atom.
Space group Pm-3m (No. 221)
One atom of each set of equivalent atoms:
Cs  0.0000  0.0000  0.0000 [1 per cell]  12 As 3.63
As  0.0000  0.5000  0.5000 [3 per cell]  2 Pd 2.57
Pd  0.5000  0.5000  0.5000 [1 per cell]  6 As 2.57

Values from the calculation:
The density of states at the Fermi level comes out at 5.53 states/eV/cell.

---

Stability summary - winner: entry x; margin: 1736 meV/atom.

---

Entry w
Here is a relaxed structure of CsAsPd3 from Alexandria. Energies are from PBE.

Cell lengths 5.2132, 5.2132, 5.2132 Å; angles 90.00, 90.00, 90.00 degrees
With the nearest neighbours (Å) after each atom.
Space group Pm-3m (No. 221)
One atom of each set of equivalent atoms:
Cs  0.0000  0.0000  0.0000 [1 per cell]  6 Pd 2.61
As  0.5000  0.5000  0.5000 [1 per cell]  12 Pd 3.69
Pd  0.0000  0.0000  0.5000 [3 per cell]  2 Cs 2.61

Values from the calculation:
The density of states at the Fermi level comes out at 5.15 states/eV/cell.

---

Entry x
Here is a relaxed structure of CsAsPd3 from Alexandria. Energies are from PBE.

Cell lengths 3.8285, 7.2242, 8.3864 Å; angles 90.00, 90.00, 90.00 degrees
With the nearest neighbours (Å) after each atom.
Space group Pmmn (No. 59, origin choice 2)
One atom of each set of equivalent atoms:
Cs  0.2500  0.2500  0.0358 [2 per cell]  8 Pd 3.61-3.97, 1 As 3.63, 2 Cs 3.83
As  0.2500  0.2500  0.4684 [2 per cell]  8 Pd 2.56-2.57
Pd  0.2500  0.5464  0.6364 [4 per cell]  3 As 2.56-2.57
Pd  0.2500  0.7500  0.3297 [2 per cell]  2 As 2.56

Values from the calculation:
The density of states at the Fermi level comes out at 4.10 states/eV/cell.

---

Entry y
Here is a relaxed structure of CsAsPd3 from Alexandria. Energies are from PBE.

Cell lengths 4.9302, 4.9302, 4.9302 Å; angles 90.00, 90.00, 90.00 degrees
With the nearest neighbours (Å) after each atom.
Space group Pm-3m (No. 221)
One atom of each set of equivalent atoms:
Cs  0.0000  0.0000  0.0000 [1 per cell]  12 Pd 3.49
As  0.5000  0.5000  0.5000 [1 per cell]  6 Pd 2.47
Pd  0.0000  0.5000  0.5000 [3 per cell]  2 As 2.47

Values from the calculation:
The density of states at the Fermi level comes out at 7.15 states/eV/cell.

---

Stability summary - winner: entry x; margin: 214 meV/atom.

---

Entry w
Here is a relaxed structure of Cs2AsPt2 from Alexandria. Energies are from PBE.

Cell lengths 6.8103, 6.8103, 5.9472 Å; angles 90.00, 90.00, 90.00 degrees
With the nearest neighbours (Å) after each atom.
Space group P4/mbm (No. 127)
One atom of each set of equivalent atoms:
Cs  0.1814  0.3186  0.0000 [4 per cell]  6 Pt 3.44-3.70, 5 Cs 3.49-3.53
As  0.0000  0.0000  0.5000 [2 per cell]  4 Pt 2.63
Pt  0.1400  0.6400  0.5000 [4 per cell]  2 As 2.63, 1 Pt 2.70

Values from the calculation:
The density of states at the Fermi level comes out at 6.48 states/eV/cell.

---

Entry x
Here is a relaxed structure of Cs2AsPt2 from Alexandria. Energies are from PBE.

Cell lengths 4.6781, 21.9283, 7.3030 Å; angles 90.00, 90.00, 90.00 degrees
With the nearest neighbours (Å) after each atom.
Space group Cmc2_1 (No. 36)
One atom of each set of equivalent atoms:
Cs  0.0000  0.0229  0.0000 [4 per cell]  6 Pt 3.54-3.76, 2 Cs 3.79
Cs  0.0000  0.1980  0.8301 [4 per cell]  4 Pt 3.61-3.99, 1 As 3.75, 1 Cs 4.04
As  0.0000  0.3682  0.8794 [4 per cell]  3 Pt 2.33-2.36
Pt  0.0000  0.1409  0.3493 [4 per cell]  2 As 2.36
Pt  0.0000  0.4149  0.1667 [4 per cell]  1 As 2.33

Values from the calculation:
The density of states at the Fermi level comes out at 4.32 states/eV/cell.

---

Entry y
Here is a relaxed structure of Cs2AsPt2 from Alexandria. Energies are from PBE.

Cell lengths 10.6699, 7.2253, 8.1550 Å; angles 90.00, 98.65, 90.00 degrees
With the nearest neighbours (Å) after each atom.
Space group C2/c (No. 15)
One atom of each set of equivalent atoms:
Cs  0.1507  0.1016  0.1445 [8 per cell]  5 Pt 3.41-3.70, 2 As 3.71-3.80
As  0.0000  0.4450  0.7500 [4 per cell]  4 Pt 2.50-2.51
Pt  0.1049  0.3830  0.4998 [8 per cell]  2 As 2.50-2.51

Values from the calculation:
The density of states at the Fermi level comes out at 2.65 states/eV/cell.

---

Stability summary - winner: entry y; margin: 55 meV/atom.